DFT (PBE-GGA) results for crystalline Cr2WAu2 at its relaxed geometry.

```
data_Cr2WAu2
_cell_length_a 7.529
_cell_length_b 7.529
_cell_length_c 2.727
_cell_angle_alpha 90.00
_cell_angle_beta 90.00
_cell_angle_gamma 90.00
_symmetry_space_group_name_H-M 'P 4/m b m'
_symmetry_Int_Tables_number 127
_symmetry_space_group_name_Hall '-P 4 2ab'
loop_
_atom_site_label
_atom_site_type_symbol
_atom_site_fract_x
_atom_site_fract_y
_atom_site_fract_z
Cr1 Cr 0.173 0.327 0.000
W1 W 0.000 0.000 0.500
Au1 Au 0.127 0.627 0.500
```

- offset from the most stable computed form (eV/f.u.) = 0.277

DFT (PBE-GGA) results for crystalline Nd5TmS6 at its relaxed geometry.

```
data_Nd5TmS6
_cell_length_a 6.985
_cell_length_b 12.117
_cell_length_c 6.981
_cell_angle_alpha 90.00
_cell_angle_beta 109.63
_cell_angle_gamma 90.00
_symmetry_space_group_name_H-M 'C 1 2/m 1'
_symmetry_Int_Tables_number 12
loop_
_symmetry_equiv_pos_as_xyz
'x,y,z'
'-x,-y,-z'
'-x,y,-z'
'x,-y,z'
'x+1/2,y+1/2,z'
'-x+1/2,-y+1/2,-z'
'-x+1/2,y+1/2,-z'
'x+1/2,-y+1/2,z'
loop_
_atom_site_label
_atom_site_type_symbol
_atom_site_fract_x
_atom_site_fract_y
_atom_site_fract_z
Nd1 Nd 0.000 0.000 0.000
Nd2 Nd 0.000 0.168 0.500
Nd3 Nd 0.000 0.328 0.000
Tm1 Tm 0.000 0.500 0.500
S1 S 0.239 0.500 0.255
S2 S 0.241 0.340 0.741
```

- formation energy from raw total energies (eV per atom) = -2.011

DFT (PBE-GGA) results for crystalline MgFe2Br at its relaxed geometry.

```
data_MgFe2Br
_cell_length_a 3.139
_cell_length_b 4.361
_cell_length_c 9.802
_cell_angle_alpha 90.00
_cell_angle_beta 90.00
_cell_angle_gamma 90.00
_symmetry_space_group_name_H-M 'I m m m'
_symmetry_Int_Tables_number 71
_symmetry_space_group_name_Hall '-I 2 2'
loop_
_atom_site_label
_atom_site_type_symbol
_atom_site_fract_x
_atom_site_fract_y
_atom_site_fract_z
Mg1 Mg 0.000 0.000 0.000
Fe1 Fe 0.000 0.500 0.245
Br1 Br 0.000 0.000 0.500
```

- offset from the most stable computed form (eV/f.u.) = 1.448
- formation energy from raw total energies (eV per atom) = 0.475

DFT (PBE-GGA) results for crystalline BeSb2Ru at its relaxed geometry.

```
data_BeSb2Ru
_cell_length_a 3.3748
_cell_length_b 3.3748
_cell_length_c 22.2502
_cell_angle_alpha 90.00
_cell_angle_beta 90.00
_cell_angle_gamma 120.00
_symmetry_space_group_name_H-M 'R -3 m'
_symmetry_Int_Tables_number 166
_symmetry_space_group_name_Hall '-R 3 2"'
loop_
_atom_site_label
_atom_site_type_symbol
_atom_site_fract_x
_atom_site_fract_y
_atom_site_fract_z
Be1 Be 0.0000 0.0000 0.0000
Sb1 Sb 0.0000 0.0000 0.2526
Ru1 Ru 0.0000 0.0000 0.5000
```

- offset from the most stable computed form (eV/f.u.) = 1.350
- formation energy from raw total energies (eV per atom) = 0.269

DFT (PBE-GGA) results for crystalline Ac3Cl at its relaxed geometry.

```
data_Ac3Cl
_cell_length_a 7.6751
_cell_length_b 7.6751
_cell_length_c 6.2039
_cell_angle_alpha 90.00
_cell_angle_beta 90.00
_cell_angle_gamma 120.00
_symmetry_space_group_name_H-M 'P 63/m m c'
_symmetry_Int_Tables_number 194
_symmetry_space_group_name_Hall '-P 6c 2c'
loop_
_atom_site_label
_atom_site_type_symbol
_atom_site_fract_x
_atom_site_fract_y
_atom_site_fract_z
Ac1 Ac 0.1673 0.3345 0.2500
Cl1 Cl 0.3333 0.6667 0.7500
```

- offset from the most stable computed form (eV/f.u.) = 0.000
- formation energy from raw total energies (eV per atom) = -0.153

DFT (PBE-GGA) results for crystalline CuTe2Pb2 at its relaxed geometry.

```
data_CuTe2Pb2
_cell_length_a 8.287
_cell_length_b 8.287
_cell_length_c 4.444
_cell_angle_alpha 90.00
_cell_angle_beta 90.00
_cell_angle_gamma 90.00
_symmetry_space_group_name_H-M 'P 4/m b m'
_symmetry_Int_Tables_number 127
_symmetry_space_group_name_Hall '-P 4 2ab'
loop_
_atom_site_label
_atom_site_type_symbol
_atom_site_fract_x
_atom_site_fract_y
_atom_site_fract_z
Cu1 Cu 0.000 0.000 0.000
Te1 Te 0.165 0.335 0.500
Pb1 Pb 0.151 0.651 0.000
```

- offset from the most stable computed form (eV/f.u.) = 0.539
- formation energy from raw total energies (eV per atom) = 0.178

DFT (PBE-GGA) results for crystalline RbLi2OsO4 at its relaxed geometry.

```
data_RbLi2OsO4
_cell_length_a 5.434
_cell_length_b 5.434
_cell_length_c 7.967
_cell_angle_alpha 90.00
_cell_angle_beta 90.00
_cell_angle_gamma 90.00
_symmetry_space_group_name_H-M 'I -4 2 m'
_symmetry_Int_Tables_number 121
_symmetry_space_group_name_Hall 'I -4 2'
loop_
_atom_site_label
_atom_site_type_symbol
_atom_site_fract_x
_atom_site_fract_y
_atom_site_fract_z
Rb1 Rb 0.000 0.000 0.000
Li1 Li 0.000 0.500 0.250
Os1 Os 0.000 0.000 0.500
O1 O 0.182 0.182 0.343
```

- formation energy from raw total energies (eV per atom) = -1.314

DFT (PBE-GGA) results for crystalline KYNi2 at its relaxed geometry.

```
data_KYNi2
_cell_length_a 7.602
_cell_length_b 7.602
_cell_length_c 6.153
_cell_angle_alpha 90.00
_cell_angle_beta 90.00
_cell_angle_gamma 90.00
_symmetry_space_group_name_H-M 'I -4 2 d'
_symmetry_Int_Tables_number 122
_symmetry_space_group_name_Hall 'I -4 2bw'
loop_
_atom_site_label
_atom_site_type_symbol
_atom_site_fract_x
_atom_site_fract_y
_atom_site_fract_z
K1 K 0.000 0.000 0.000
Y1 Y 0.000 0.000 0.500
Ni1 Ni 0.226 0.250 0.625
```

- offset from the most stable computed form (eV/f.u.) = 2.234